Record 1
Below is LiPaNiN3 after structural relaxation, with properties calculated at the GGA-PBE level.

Lattice parameters (Å, degrees): 5.6756 3.3478 7.3277 90.00 109.71 90.00
Space group P2_1/m (No. 11)
Unique sites:
Li1 0.1557 0.2500 0.0897 x2
Pa1 0.2843 0.7500 0.7673 x2
Ni1 0.3284 0.7500 0.3606 x2
N1 0.0367 0.2500 0.7963 x2
N2 0.3166 0.2500 0.5084 x2
N3 0.4155 0.7500 0.1180 x2

Final energy ... -7.69 eV per atom


Record 2
Below is Li2NiPbN after structural relaxation, with properties calculated at the GGA-PBE level.

Lattice parameters (Å, degrees): 4.3128 4.3128 3.6604 90.00 90.00 90.00
Space group P4/mmm (No. 123)
Unique sites:
Li1 0.0000 0.5000 0.0000 x2
Ni1 0.0000 0.0000 0.5000 x1
Pb1 0.5000 0.5000 0.5000 x1
N1 0.0000 0.0000 0.0000 x1

Final energy ... -4.51 eV per atom


Record 3
Below is LiNiPd2N after structural relaxation, with properties calculated at the GGA-PBE level.

Lattice parameters (Å, degrees): 4.2450 4.2450 3.5826 90.00 90.00 90.00
Space group P4/mmm (No. 123)
Unique sites:
Li1 0.0000 0.0000 0.0000 x1
Ni1 0.5000 0.5000 0.0000 x1
Pd1 0.0000 0.5000 0.5000 x2
N1 0.5000 0.5000 0.5000 x1

Final energy ... -5.39 eV per atom


Record 4
Below is Rb2LiNiN after structural relaxation, with properties calculated at the GGA-PBE level.

Lattice parameters (Å, degrees): 6.0862 6.0862 3.6913 90.00 90.00 90.00
Space group P4/mmm (No. 123)
Unique sites:
Rb1 0.0000 0.5000 0.0000 x2
Li1 0.0000 0.0000 0.0000 x1
Ni1 0.5000 0.5000 0.5000 x1
N1 0.0000 0.0000 0.5000 x1

Final energy ... -2.79 eV per atom


Record 5
Below is LiNiRh2N after structural relaxation, with properties calculated at the GGA-PBE level.

Lattice parameters (Å, degrees): 4.0430 4.0430 3.7235 90.00 90.00 90.00
Space group P4/mmm (No. 123)
Unique sites:
Li1 0.0000 0.0000 0.0000 x1
Ni1 0.5000 0.5000 0.0000 x1
Rh1 0.0000 0.5000 0.5000 x2
N1 0.5000 0.5000 0.5000 x1

Energy above the lowest structure with this stoichiometry ... 0 meV/atom


Record 6
Below is LiNiRh2N after structural relaxation, with properties calculated at the GGA-PBE level.

Lattice parameters (Å, degrees): 3.9547 3.9547 3.8805 90.00 90.00 90.00
Space group P4/mmm (No. 123)
Unique sites:
Li1 0.0000 0.0000 0.0000 x1
Ni1 0.5000 0.5000 0.0000 x1
Rh1 0.0000 0.5000 0.5000 x2
N1 0.0000 0.0000 0.5000 x1

Energy above the lowest structure with this stoichiometry ... 121 meV/atom


Record 7
Below is LiNi2RhN after structural relaxation, with properties calculated at the GGA-PBE level.

Lattice parameters (Å, degrees): 3.7376 3.7376 4.0436 90.00 90.00 90.00
Space group P4/mmm (No. 123)
Unique sites:
Li1 0.0000 0.0000 0.0000 x1
Ni1 0.0000 0.5000 0.5000 x2
Rh1 0.5000 0.5000 0.0000 x1
N1 0.5000 0.5000 0.5000 x1

Energy above the lowest structure with this stoichiometry ... 0 meV/atom


Record 8
Below is Li2NiRhN after structural relaxation, with properties calculated at the GGA-PBE level.

Lattice parameters (Å, degrees): 3.9085 3.9085 3.7961 90.00 90.00 90.00
Space group P4/mmm (No. 123)
Unique sites:
Li1 0.0000 0.5000 0.0000 x2
Ni1 0.0000 0.0000 0.5000 x1
Rh1 0.5000 0.5000 0.5000 x1
N1 0.5000 0.5000 0.0000 x1

Final energy ... -5.10 eV per atom


Record 9
Below is LiNi2RhN after structural relaxation, with properties calculated at the GGA-PBE level.

Lattice parameters (Å, degrees): 3.6896 3.6896 3.9459 90.00 90.00 90.00
Space group P4/mmm (No. 123)
Unique sites:
Li1 0.0000 0.0000 0.0000 x1
Ni1 0.0000 0.5000 0.5000 x2
Rh1 0.5000 0.5000 0.0000 x1
N1 0.0000 0.0000 0.5000 x1

Energy above the lowest structure with this stoichiometry ... 113 meV/atom


Record 10
Below is LiNiRuN2 after structural relaxation, with properties calculated at the GGA-PBE level.

Lattice parameters (Å, degrees): 3.8071 3.8071 4.6890 90.00 90.00 90.00
Space group P4/mmm (No. 123)
Unique sites:
Li1 0.0000 0.0000 0.0000 x1
Ni1 0.5000 0.5000 0.0000 x1
Ru1 0.5000 0.5000 0.5000 x1
N1 0.0000 0.5000 0.5000 x2

Final energy ... -5.93 eV per atom


Record 11
Below is LiNiSN2 after structural relaxation, with properties calculated at the GGA-PBE level.

Lattice parameters (Å, degrees): 3.4657 3.4657 4.7540 90.00 90.00 90.00
Space group P4/mmm (No. 123)
Unique sites:
Li1 0.0000 0.0000 0.0000 x1
Ni1 0.5000 0.5000 0.5000 x1
S1 0.0000 0.0000 0.5000 x1
N1 0.0000 0.5000 0.0000 x2

Energy above the lowest structure with this stoichiometry ... 873 meV/atom


Record 12
Below is LiNiS2N after structural relaxation, with properties calculated at the GGA-PBE level.

Lattice parameters (Å, degrees): 4.3971 4.3971 3.4034 90.00 90.00 90.00
Space group P4/mmm (No. 123)
Unique sites:
Li1 0.0000 0.0000 0.0000 x1
Ni1 0.5000 0.5000 0.5000 x1
S1 0.0000 0.5000 0.0000 x2
N1 0.0000 0.0000 0.5000 x1

Energy above the lowest structure with this stoichiometry ... 920 meV/atom


Record 13
Below is LiNiSN2 after structural relaxation, with properties calculated at the GGA-PBE level.

Lattice parameters (Å, degrees): 3.6106 3.6106 4.9785 90.00 90.00 90.00
Space group P4/mmm (No. 123)
Unique sites:
Li1 0.0000 0.0000 0.0000 x1
Ni1 0.5000 0.5000 0.5000 x1
S1 0.5000 0.5000 0.0000 x1
N1 0.0000 0.5000 0.5000 x2

Energy above the lowest structure with this stoichiometry ... 0 meV/atom


Record 14
Below is LiNiS2N after structural relaxation, with properties calculated at the GGA-PBE level.

Lattice parameters (Å, degrees): 4.7861 4.7861 3.3799 90.00 90.00 90.00
Space group P4/mmm (No. 123)
Unique sites:
Li1 0.0000 0.0000 0.0000 x1
Ni1 0.5000 0.5000 0.5000 x1
S1 0.0000 0.5000 0.5000 x2
N1 0.5000 0.5000 0.0000 x1

Energy above the lowest structure with this stoichiometry ... 0 meV/atom


Record 15
Below is Li2NiSbN after structural relaxation, with properties calculated at the GGA-PBE level.

Lattice parameters (Å, degrees): 4.1711 4.1711 3.7341 90.00 90.00 90.00
Space group P4/mmm (No. 123)
Unique sites:
Li1 0.0000 0.5000 0.0000 x2
Ni1 0.0000 0.0000 0.5000 x1
Sb1 0.5000 0.5000 0.5000 x1
N1 0.0000 0.0000 0.0000 x1

Final energy ... -4.59 eV per atom


Record 16
Below is LiSc2NiN after structural relaxation, with properties calculated at the GGA-PBE level.

Lattice parameters (Å, degrees): 4.3547 4.3547 3.8303 90.00 90.00 90.00
Space group P4/mmm (No. 123)
Unique sites:
Li1 0.0000 0.0000 0.0000 x1
Sc1 0.0000 0.5000 0.5000 x2
Ni1 0.5000 0.5000 0.0000 x1
N1 0.0000 0.0000 0.5000 x1

Final energy ... -6.45 eV per atom


Record 17
Below is Li2ScNiN after structural relaxation, with properties calculated at the GGA-PBE level.

Lattice parameters (Å, degrees): 4.0375 4.0375 3.7397 90.00 90.00 90.00
Space group P4/mmm (No. 123)
Unique sites:
Li1 0.0000 0.5000 0.0000 x2
Sc1 0.0000 0.0000 0.5000 x1
Ni1 0.5000 0.5000 0.5000 x1
N1 0.5000 0.5000 0.0000 x1

Final energy ... -4.92 eV per atom


Record 18
Below is Li2NiSnN after structural relaxation, with properties calculated at the GGA-PBE level.

Lattice parameters (Å, degrees): 4.2323 4.2323 3.6478 90.00 90.00 90.00
Space group P4/mmm (No. 123)
Unique sites:
Li1 0.0000 0.5000 0.0000 x2
Ni1 0.0000 0.0000 0.5000 x1
Sn1 0.5000 0.5000 0.5000 x1
N1 0.0000 0.0000 0.0000 x1

Final energy ... -4.59 eV per atom


Record 19
Below is Sr2LiNiN after structural relaxation, with properties calculated at the GGA-PBE level.

Lattice parameters (Å, degrees): 5.4896 5.4896 3.6392 90.00 90.00 90.00
Space group P4/mmm (No. 123)
Unique sites:
Sr1 0.0000 0.5000 0.0000 x2
Li1 0.0000 0.0000 0.5000 x1
Ni1 0.5000 0.5000 0.5000 x1
N1 0.5000 0.5000 0.0000 x1

Final energy ... -4.13 eV per atom


Record 20
Below is LiTcNi2N after structural relaxation, with properties calculated at the GGA-PBE level.

Lattice parameters (Å, degrees): 3.7734 3.7734 3.9734 90.00 90.00 90.00
Space group P4/mmm (No. 123)
Unique sites:
Li1 0.0000 0.0000 0.0000 x1
Tc1 0.5000 0.5000 0.0000 x1
Ni1 0.0000 0.5000 0.5000 x2
N1 0.5000 0.5000 0.5000 x1

Final energy ... -6.44 eV per atom


no.,size of the total moment (μB per atom)
1,0.00
2,0.08
3,0.00
4,0.38
5,0.00
6,0.33
7,0.00
8,0.06
9,0.00
10,0.00
11,0.28
12,0.18
13,0.29
14,0.00
15,0.16
16,0.00
17,0.00
18,0.10
19,0.00
20,0.10